Density functional theory data (PBE) for a relaxed structure of LaGeB2S.

```
5
Lattice="-4.005 0.444 0.536 0.562 -2.181 6.006 0.597 3.797 1.323" Properties=species:S:1:pos:R:3 pbc="T T T"
Ge 0.000 0.000 0.000
B 0.299 1.899 0.661
B -2.003 0.222 0.268
S -1.423 1.030 3.932
La 0.281 -1.090 3.003
```

Calculated values
The value obtained for the raw formation energy is 0.436 eV per atom.

Density functional theory data (PBE) for a relaxed structure of LaTc2Ge2B.

```
6
Lattice="-4.160 -0.371 -0.940 0.999 -0.929 -4.057 0.191 -5.400 1.284" Properties=species:S:1:pos:R:3 pbc="T T T"
La 0.095 -2.700 0.642
Tc -2.080 -0.185 -0.470
Tc 0.500 -0.465 -2.029
Ge -1.440 -4.613 -1.556
Ge -1.529 -2.087 -2.157
B 0.000 0.000 0.000
```

Calculated values
The formation energy from the elements comes out at -558 meV/atom.

Density functional theory data (PBE) for a relaxed structure of LaGeBTe2.

```
5
Lattice="6.120 0.000 0.000 0.000 5.799 0.000 0.000 0.000 6.120" Properties=species:S:1:pos:R:3 pbc="T T T"
Ge 0.000 2.900 0.000
Te 0.000 0.000 3.060
Te 3.060 0.000 0.000
B 3.060 2.900 3.060
La 0.000 0.000 0.000
```

Calculated values
The value obtained for the raw formation energy is 1.141 eV per atom.

Density functional theory data (PBE) for a relaxed structure of LaYGeB2.

```
5
Lattice="4.488 0.000 0.000 0.000 4.488 0.000 0.000 0.000 5.127" Properties=species:S:1:pos:R:3 pbc="T T T"
Y 0.000 0.000 2.563
Ge 0.000 0.000 0.000
B 0.000 2.244 0.000
B 2.244 0.000 0.000
La 2.244 2.244 2.563
```

Calculated values
The formation energy from the elements comes out at 1030 meV/atom.

Density functional theory data (PBE) for a relaxed structure of LiGeB2.

```
12
Lattice="3.029 0.000 0.000 -1.514 2.623 0.000 0.000 0.000 17.466" Properties=species:S:1:pos:R:3 pbc="T T T"
Li 0.000 0.000 10.667
Li 0.000 1.749 4.845
Li 1.514 0.874 16.489
Ge 0.000 0.000 1.293
Ge 0.000 1.749 12.937
Ge 1.514 0.874 7.115
B 0.000 0.000 14.942
B 0.000 1.749 9.120
B 1.514 0.874 3.298
B 0.000 0.000 3.358
B 0.000 1.749 15.002
B 1.514 0.874 9.180
```

Calculated values
The formation energy from the elements comes out at 52 meV/atom.

Density functional theory data (PBE) for a relaxed structure of LiGeB2.

```
8
Lattice="3.933 0.000 -0.042 0.000 3.106 0.000 -1.651 0.000 7.497" Properties=species:S:1:pos:R:3 pbc="T T T"
Li 1.958 0.000 4.318
Li 2.783 1.553 0.569
Ge 0.876 0.000 1.338
Ge 0.051 1.553 5.087
B 2.914 0.000 2.370
B 2.088 1.553 6.118
B 2.443 0.000 6.672
B 3.268 1.553 2.924
```

Calculated values
The formation energy from the elements comes out at 179 meV/atom.

Density functional theory data (PBE) for a relaxed structure of LiGeB2.

```
8
Lattice="-0.709 3.379 -1.152 0.794 -0.909 -3.157 -8.891 -2.424 -1.538" Properties=species:S:1:pos:R:3 pbc="T T T"
Li -1.770 1.675 -0.927
Li -5.818 0.009 -3.275
Ge -8.287 -1.896 -1.538
Ge -3.444 -1.138 -2.348
B -4.925 -0.976 -0.958
B -0.083 -0.219 -1.767
B -6.410 -1.376 -1.216
B -1.568 -0.619 -2.025
```

Calculated values
The formation energy from the elements comes out at 404 meV/atom.

Density functional theory data (PBE) for a relaxed structure of LiGe3B.

```
5
Lattice="4.459 0.000 0.000 0.000 4.459 0.000 0.000 0.000 4.459" Properties=species:S:1:pos:R:3 pbc="T T T"
Ge 0.000 2.229 0.000
Ge 0.000 0.000 2.229
Ge 2.229 0.000 0.000
B 0.000 0.000 0.000
Li 2.229 2.229 2.229
```

Calculated values
Its energy above the most stable polymorph in this dataset is 0.00 kcal/mol of atoms. The formation energy from the elements comes out at 533 meV/atom.

Density functional theory data (PBE) for a relaxed structure of LiGe2B2.

```
10
Lattice="6.176 0.000 0.000 0.000 6.176 0.000 0.000 0.000 3.636" Properties=species:S:1:pos:R:3 pbc="T T T"
Ge 1.809 4.897 1.818
Ge 4.897 4.366 1.818
Ge 4.366 1.279 1.818
Ge 1.279 1.809 1.818
B 2.512 5.600 0.000
B 5.600 3.663 0.000
B 3.663 0.575 0.000
B 0.575 2.512 0.000
Li 0.000 0.000 0.000
Li 3.088 3.088 0.000
```

Calculated values
Its energy above the most stable polymorph in this dataset is 2.41 kcal/mol of atoms. The formation energy from the elements comes out at 434 meV/atom.

Density functional theory data (PBE) for a relaxed structure of LiGeB2.

```
8
Lattice="3.904 0.000 -0.006 0.000 3.646 0.000 -1.416 0.000 6.819" Properties=species:S:1:pos:R:3 pbc="T T T"
Li 2.253 0.000 2.179
Li 1.545 1.823 5.588
Ge -0.178 0.000 5.943
Ge 0.530 1.823 2.534
B 3.121 0.000 0.140
B 2.413 1.823 3.549
B 0.277 0.000 1.325
B -0.431 1.823 4.734
```

Calculated values
The formation energy from the elements comes out at 410 meV/atom.

Density functional theory data (PBE) for a relaxed structure of LiGeB2.

```
4
Lattice="-1.901 -0.609 2.365 1.240 -2.615 0.324 3.766 2.231 3.601" Properties=species:S:1:pos:R:3 pbc="T T T"
Li 1.234 0.731 1.180
Ge 2.233 -0.093 3.796
B -0.073 -1.459 1.591
B 0.660 -1.284 0.201
```

Calculated values
The formation energy from the elements comes out at 267 meV/atom.

Density functional theory data (PBE) for a relaxed structure of LiGeB2.

```
4
Lattice="3.027 0.000 0.000 -1.514 2.622 0.000 0.000 0.000 5.827" Properties=species:S:1:pos:R:3 pbc="T T T"
Li 0.000 0.000 1.780
Ge 0.000 1.748 4.050
B 0.000 1.748 0.288
B 1.514 0.874 0.220
```

Calculated values
The formation energy from the elements comes out at 54 meV/atom.

Number 1: final energy -0.18261 Ha/atom. Number 2: final energy -0.27513 Ha/atom. Number 3: final energy -0.12350 Ha/atom. Number 4: final energy -0.17796 Ha/atom. Number 5: final energy -0.18078 Ha/atom. Number 6: final energy -0.17614 Ha/atom. Number 7: final energy -0.16783 Ha/atom. Number 8: final energy -0.14538 Ha/atom. Number 9: final energy -0.16416 Ha/atom. Number 10: final energy -0.16762 Ha/atom. Number 11: final energy -0.17290 Ha/atom. Number 12: final energy -0.18071 Ha/atom.